MnOsSN2 | Alexandria | PBE | optimized geometry; polymorph energy (0 for the lowest one) = 697 meV per atom; E_form (uncorrected) = 1.240 eV per atom
1.0
-2.788 -1.385 -1.689
0.969 -3.239 1.057
-2.744 0.519 4.104
Mn N Os S
1 2 1 1
Cartesian
0.000 0.000 0.000
-1.394 -0.693 -0.845
0.484 -1.619 0.529
-2.282 -2.052 1.736
-1.372 0.260 2.052